Record 1
This record from Alexandria describes a relaxed structure of MnCuW2. The functional is PBE-GGA.

Cell: 4.348 2.656 4.922 Å, 82.83 90.00 90.00°
Each line ends with the local moment (μB).
Element x y z (fractional)
Cu (0.000, 0.615, 0.492)  0.02
Mn (0.500, 0.662, 0.763)  1.90
W (0.000, 0.999, 0.975)  -0.09
W (0.500, 0.223, 0.270)  -0.08

Computed properties:
ΔE_f = 0.25 eV/atom
Energy above the most stable polymorph in this dataset = 13.7 meV per atom
SG = Pm
Density of states at the Fermi level = 3.4 states/eV per cell

***

Record 2
This record from Alexandria describes a relaxed structure of Tb3Sn2Pd6. The functional is PBE-GGA.

Cell: 8.377 8.377 8.377 Å, 109.47 109.47 109.47°
Element x y z (fractional)
Tb (0.711, 0.000, 0.711)
Tb (0.289, 0.000, 0.289)
Tb (0.000, 0.289, 0.289)
Tb (0.000, 0.711, 0.711)
Tb (0.289, 0.289, 0.000)
Tb (0.711, 0.711, 0.000)
Sn (0.000, 0.500, 0.000)
Sn (0.500, 0.000, 0.000)
Sn (0.000, 0.000, 0.500)
Sn (0.500, 0.500, 0.500)
Pd (0.658, 0.315, 0.658)
Pd (0.658, 0.000, 0.342)
Pd (0.342, 0.000, 0.658)
Pd (0.342, 0.685, 0.342)
Pd (0.000, 0.658, 0.342)
Pd (0.685, 0.342, 0.342)
Pd (0.315, 0.658, 0.658)
Pd (0.000, 0.342, 0.658)
Pd (0.342, 0.658, 0.000)
Pd (0.658, 0.658, 0.315)
Pd (0.342, 0.342, 0.685)
Pd (0.658, 0.342, 0.000)

Computed properties:
ΔE_f = -0.80 eV/atom
SG = Im-3m
Density of states at the Fermi level = 13.3 states/eV per cell